1.
A plane-wave DFT calculation with GGA-PBE was carried out for a geometry-optimized Pm3ErPu2S6 structure.

Values from the calculation:
Crystal system   monoclinic
Total magnetic moment   0.94 μB per atom
E_form (uncorrected)   -1951 meV/atom

Lattice parameters (Å, degrees): 6.8747 6.8747 6.9202 99.51 99.51 120.01
With the nearest neighbours (Å) after each atom.
Positions (direct):
Pm 0.0000 0.0000 0.0000  6 S 2.85-2.86
Pm 0.3321 0.6679 0.0000  6 S 2.84-2.86
Pm 0.6679 0.3321 0.0000  6 S 2.84-2.86
Er 0.5000 0.5000 0.5000  6 S 2.76
Pu 0.1665 0.8335 0.5000  6 S 2.78-2.79
Pu 0.8335 0.1665 0.5000  6 S 2.78-2.79
S 0.0903 0.4203 0.2606  1 Er 2.76, 2 Pu 2.78-2.79, 3 Pm 2.84-2.86
S 0.2507 0.2507 0.7416  1 Er 2.76, 2 Pu 2.79, 3 Pm 2.85-2.86
S 0.4203 0.0903 0.2606  1 Er 2.76, 2 Pu 2.78-2.79, 3 Pm 2.84-2.86
S 0.5797 0.9097 0.7394  1 Er 2.76, 2 Pu 2.78-2.79, 3 Pm 2.84-2.86
S 0.7493 0.7493 0.2584  1 Er 2.76, 2 Pu 2.79, 3 Pm 2.85-2.86
S 0.9097 0.5797 0.7394  1 Er 2.76, 2 Pu 2.78-2.79, 3 Pm 2.84-2.86


2.
A plane-wave DFT calculation with GGA-PBE was carried out for a geometry-optimized Y3AsCl structure.

Values from the calculation:
Crystal system   cubic
Total magnetic moment   0.00 μB per atom
E_form (uncorrected)   -403 meV/atom

Lattice parameters (Å, degrees): 5.0776 5.0776 5.0776 90.00 90.00 90.00
With the nearest neighbours (Å) after each atom.
Positions (direct):
Y 0.0000 0.0000 0.5000  2 Cl 2.54
Y 0.0000 0.5000 0.0000  2 Cl 2.54
Y 0.5000 0.0000 0.0000  2 Cl 2.54
As 0.5000 0.5000 0.5000  12 Y 3.59
Cl 0.0000 0.0000 0.0000  6 Y 2.54


3.
A plane-wave DFT calculation with GGA-PBE was carried out for a geometry-optimized AlSb2Pt structure.

Values from the calculation:
Crystal system   trigonal
Total magnetic moment   0.00 μB per atom
E_form (uncorrected)   -146 meV/atom

Lattice parameters (Å, degrees): 6.7279 6.7279 6.7279 35.50 35.50 35.50
With the nearest neighbours (Å) after each atom.
Positions (direct):
Al 0.0000 0.0000 0.0000  6 Sb 2.96
Sb 0.2394 0.2394 0.2394  3 Pt 2.74, 3 Al 2.96
Sb 0.7606 0.7606 0.7606  3 Pt 2.74, 3 Al 2.96
Pt 0.5000 0.5000 0.5000  6 Sb 2.74


4.
A plane-wave DFT calculation with GGA-PBE was carried out for a geometry-optimized Dy2GaI3 structure.

Values from the calculation:
Crystal system   monoclinic
Total magnetic moment   0.00 μB per atom
E_form (uncorrected)   -933 meV/atom

Lattice parameters (Å, degrees): 10.5015 10.5015 14.9266 128.50 128.50 22.71
With the nearest neighbours (Å) after each atom.
Positions (direct):
Dy 0.1057 0.1057 0.2345  2 Ga 2.91-3.02, 4 I 3.04-3.15
Dy 0.3755 0.3755 0.0575  2 Ga 2.91, 4 I 3.10-3.17
Dy 0.6245 0.6245 0.9425  2 Ga 2.91, 4 I 3.10-3.17
Dy 0.8943 0.8943 0.7655  2 Ga 2.91-3.02, 4 I 3.04-3.15
Ga 0.0618 0.0618 0.0068  1 Ga 2.42
Ga 0.9382 0.9382 0.9932  1 Ga 2.42
I 0.1831 0.1831 0.8456  3 Dy 3.13-3.17
I 0.2540 0.2540 0.6452  2 Dy 3.04
I 0.4629 0.4629 0.6843  3 Dy 3.10-3.15
I 0.5371 0.5371 0.3157  3 Dy 3.10-3.15
I 0.7460 0.7460 0.3548  2 Dy 3.04
I 0.8169 0.8169 0.1544  3 Dy 3.13-3.17


5.
A plane-wave DFT calculation with GGA-PBE was carried out for a geometry-optimized Ba2Pt4Pb3Au structure.

Values from the calculation:
ΔH_f (0 K)   -0.49 eV per atom
Crystal system   tetragonal
Total magnetic moment   0.00 μB per atom

Lattice parameters (Å, degrees): 4.8769 4.8769 10.9362 90.00 90.00 90.00
With the nearest neighbours (Å) after each atom.
Positions (direct):
Ba 0.0000 0.5000 0.2473  7 Pb 3.64-4.08, 2 Au 3.64, 8 Pt 3.68-3.69
Ba 0.5000 0.0000 0.7527  7 Pb 3.64-4.08, 2 Au 3.64, 8 Pt 3.68-3.69
Pt 0.0000 0.0000 0.5000  4 Pb 2.77
Pt 0.0000 0.5000 0.8715  3 Pb 2.75-2.81, 2 Au 2.81
Pt 0.5000 0.0000 0.1285  3 Pb 2.75-2.81, 2 Au 2.81
Pt 0.5000 0.5000 0.5000  4 Pb 2.77
Pb 0.0000 0.0000 0.0000  4 Pt 2.81
Pb 0.0000 0.5000 0.6201  5 Pt 2.75-2.77
Pb 0.5000 0.0000 0.3799  5 Pt 2.75-2.77
Au 0.5000 0.5000 0.0000  4 Pt 2.81


6.
A plane-wave DFT calculation with GGA-PBE was carried out for a geometry-optimized CsSc2Ru structure.

Values from the calculation:
Offset from the most stable computed form   568 meV/atom
ΔH_f (0 K)   0.73 eV per atom
Crystal system   cubic
Total magnetic moment   0.00 μB per atom

Lattice parameters (Å, degrees): 5.0509 5.0509 5.0509 60.00 60.00 60.00
With the nearest neighbours (Å) after each atom.
Positions (direct):
Cs 0.0000 0.0000 0.0000  8 Sc 3.09
Sc 0.2500 0.2500 0.2500  4 Ru 3.09, 4 Cs 3.09
Sc 0.7500 0.7500 0.7500  4 Cs 3.09, 4 Ru 3.09
Ru 0.5000 0.5000 0.5000  8 Sc 3.09


7.
A plane-wave DFT calculation with GGA-PBE was carried out for a geometry-optimized K5Rb2Na3 structure.

Values from the calculation:
Offset from the most stable computed form   0 meV/atom
ΔH_f (0 K)   0.03 eV per atom
Crystal system   monoclinic
Total magnetic moment   0.00 μB per atom

Lattice parameters (Å, degrees): 12.8334 12.8334 8.1642 91.52 91.52 107.09
With the nearest neighbours (Å) after each atom.
Positions (direct):
K 0.0360 0.9640 0.7500  4 Na 4.12-4.25, 2 K 4.34
K 0.2165 0.5197 0.4238  4 Na 4.23-4.32, 2 K 4.40-4.53, 2 Rb 4.48-4.63
K 0.2184 0.3104 0.9684  3 Na 4.09-4.39, 4 K 4.40-4.53
K 0.3104 0.2184 0.4684  3 Na 4.09-4.39, 4 K 4.40-4.53
K 0.4803 0.7835 0.0762  4 Na 4.23-4.32, 2 K 4.40-4.53, 2 Rb 4.48-4.63
K 0.5197 0.2165 0.9238  4 Na 4.23-4.32, 2 K 4.40-4.53, 2 Rb 4.48-4.63
K 0.6896 0.7816 0.5316  3 Na 4.09-4.39, 4 K 4.40-4.53
K 0.7816 0.6896 0.0316  3 Na 4.09-4.39, 4 K 4.40-4.53
K 0.7835 0.4803 0.5762  4 Na 4.23-4.32, 2 K 4.40-4.53, 2 Rb 4.48-4.63
K 0.9640 0.0360 0.2500  4 Na 4.12-4.25, 2 K 4.34
Rb 0.1190 0.6414 0.8982  3 Na 4.33-4.71, 2 Rb 4.40-4.47, 5 K 4.48-4.82
Rb 0.3586 0.8810 0.6018  3 Na 4.33-4.71, 2 Rb 4.40-4.47, 5 K 4.48-4.82
Rb 0.6414 0.1190 0.3982  3 Na 4.33-4.71, 2 Rb 4.40-4.47, 5 K 4.48-4.82
Rb 0.8810 0.3586 0.1018  3 Na 4.33-4.71, 2 Rb 4.40-4.47, 5 K 4.48-4.82
Na 0.0327 0.7425 0.3733  1 Na 4.05, 5 K 4.09-4.31, 2 Rb 4.33-4.38
Na 0.2575 0.9673 0.1267  1 Na 4.05, 5 K 4.09-4.31, 2 Rb 4.33-4.38
Na 0.4814 0.5186 0.7500  8 K 4.12-4.39, 2 Na 4.15
Na 0.5186 0.4814 0.2500  8 K 4.12-4.39, 2 Na 4.15
Na 0.7425 0.0327 0.8733  1 Na 4.05, 5 K 4.09-4.31, 2 Rb 4.33-4.38
Na 0.9673 0.2575 0.6267  1 Na 4.05, 5 K 4.09-4.31, 2 Rb 4.33-4.38


Number 1: density of states at the Fermi level 16.77 states/eV/cell. Number 2: density of states at the Fermi level 9.77 states/eV/cell. Number 3: density of states at the Fermi level 2.05 states/eV/cell. Number 4: density of states at the Fermi level 2.42 states/eV/cell. Number 5: density of states at the Fermi level 3.80 states/eV/cell. Number 6: density of states at the Fermi level 5.07 states/eV/cell. Number 7: density of states at the Fermi level 12.45 states/eV/cell.